# YErGaRu PBE relaxed
data_YErGaRu
_chemical_formula_sum 'Y4 Er4 Ga4 Ru4'
_symmetry_space_group_name_H-M 'F -4 3 m'
_symmetry_Int_Tables_number 216
_symmetry_space_group_name_Hall 'F -4 2 3'
_cell_length_a 6.952
_cell_length_b 6.952
_cell_length_c 6.952
_cell_angle_alpha 90.00
_cell_angle_beta 90.00
_cell_angle_gamma 90.00
loop_
_atom_site_label
_atom_site_fract_x
_atom_site_fract_y
_atom_site_fract_z
_atom_site_occupancy
Y1 0.000 0.000 0.000 1
Er1 0.000 0.000 0.500 1
Ga1 0.250 0.250 0.250 1
Ru1 0.250 0.250 0.750 1
# Density of states at the Fermi level in states/eV/atom: 0.61
# Calculated total energy in eV per atom: -6.3010
# DFT formation energy in kcal/mol of atoms: -10.8